[1]
## PrSi3Tc5 (PBE)

Data for an optimized crystal structure of PrSi3Tc5.

Properties
Final energy (eV per atom): -8.45
ΔE_f (raw) (eV/atom): -0.355
Total magnetic moment (μB per cell): 0.0
Space group: Cmcm, No. 63

POSCAR file:
```
PrSi3Tc5
1.0
2.057 -6.390 0.000
2.057 6.390 0.000
0.000 0.000 11.596
Pr Si Tc
2 6 10
direct
0.170 0.830 0.750 Pr
0.830 0.170 0.250 Pr
0.128 0.872 0.250 Si
0.382 0.618 0.060 Si
0.382 0.618 0.440 Si
0.618 0.382 0.560 Si
0.618 0.382 0.940 Si
0.872 0.128 0.750 Si
0.000 0.000 0.000 Tc
0.000 0.000 0.500 Tc
0.194 0.806 0.047 Tc
0.194 0.806 0.453 Tc
0.446 0.554 0.648 Tc
0.446 0.554 0.852 Tc
0.554 0.446 0.148 Tc
0.554 0.446 0.352 Tc
0.806 0.194 0.547 Tc
0.806 0.194 0.953 Tc
```



[2]
## PrSiTc (PBE)

Data for an optimized crystal structure of PrSiTc.

Properties
Offset from the most stable computed form (meV/atom): 104
Final energy (eV per atom): -7.29
ΔE_f (raw) (eV/atom): -0.435
Total magnetic moment (μB per cell): 0.0
Space group: C2/m, No. 12

POSCAR file:
```
PrSiTc
1.0
5.126 -2.093 0.000
5.126 2.093 0.000
-4.441 0.000 5.859
Pr Si Tc
2 2 2
direct
0.060 0.060 0.329 Pr
0.940 0.940 0.671 Pr
0.300 0.300 0.225 Si
0.700 0.700 0.775 Si
0.358 0.358 0.940 Tc
0.642 0.642 0.060 Tc
```



[3]
## Pr3Si3Tc (PBE)

Data for an optimized crystal structure of Pr3Si3Tc.

Properties
Final energy (eV per atom): -6.51
ΔE_f (raw) (eV/atom): -0.656
Total magnetic moment (μB per cell): 0.0
Space group: C2/m, No. 12

POSCAR file:
```
Pr3Si3Tc
1.0
5.628 -2.165 0.000
5.628 2.165 0.000
-5.381 0.000 13.152
Pr Si Tc
6 6 2
direct
0.021 0.021 0.374 Pr
0.103 0.103 0.920 Pr
0.251 0.251 0.229 Pr
0.749 0.749 0.771 Pr
0.897 0.897 0.080 Pr
0.979 0.979 0.626 Pr
0.353 0.353 0.457 Si
0.396 0.396 0.927 Si
0.437 0.437 0.762 Si
0.563 0.563 0.238 Si
0.604 0.604 0.073 Si
0.647 0.647 0.543 Si
0.258 0.258 0.587 Tc
0.742 0.742 0.413 Tc
```



[4]
## PrSi4Tc4 (PBE)

Data for an optimized crystal structure of PrSi4Tc4.

Properties
Final energy (eV per atom): -8.07
ΔE_f (raw) (eV/atom): -0.518
Total magnetic moment (μB per cell): 0.0
Space group: P4_2/n, No. 86

POSCAR file:
```
PrSi4Tc4
1.0
8.139 0.000 0.000
0.000 8.139 0.000
0.000 0.000 4.667
Pr Si Tc
2 8 8
direct
0.250 0.250 0.250 Pr
0.750 0.750 0.750 Pr
0.055 0.908 0.167 Si
0.092 0.555 0.667 Si
0.408 0.945 0.667 Si
0.445 0.592 0.167 Si
0.555 0.408 0.833 Si
0.592 0.055 0.333 Si
0.908 0.445 0.333 Si
0.945 0.092 0.833 Si
0.126 0.873 0.661 Tc
0.127 0.626 0.161 Tc
0.373 0.874 0.161 Tc
0.374 0.627 0.661 Tc
0.626 0.373 0.339 Tc
0.627 0.126 0.839 Tc
0.873 0.374 0.839 Tc
0.874 0.127 0.339 Tc
```



[5]
## PrSiTc (PBE)

Data for an optimized crystal structure of PrSiTc.

Properties
Offset from the most stable computed form (meV/atom): 241
Final energy (eV per atom): -7.15
ΔE_f (raw) (eV/atom): -0.298
Total magnetic moment (μB per cell): 0.0
Space group: I4mm, No. 107

POSCAR file:
```
PrSiTc
1.0
-1.660 1.660 5.354
1.660 -1.660 5.354
1.660 1.660 -5.354
Pr Si Tc
1 1 1
direct
0.000 0.000 0.000 Pr
0.291 0.291 0.000 Si
0.708 0.708 0.000 Tc
```



[6]
## Pr2SiTe (PBE)

Data for an optimized crystal structure of Pr2SiTe.

Properties
Offset from the most stable computed form (meV/atom): 63
Final energy (eV per atom): -5.58
ΔE_f (raw) (eV/atom): -1.044
Total magnetic moment (μB per cell): 0.0
Space group: R3m, No. 160

POSCAR file:
```
Pr2SiTe
1.0
2.181 1.259 7.610
-2.181 1.259 7.610
0.000 -2.519 7.610
Pr Si Te
2 1 1
direct
0.000 0.000 0.000 Pr
0.188 0.188 0.188 Pr
0.595 0.595 0.595 Si
0.426 0.426 0.426 Te
```



[7]
## Pr3SiTe6 (PBE)

Data for an optimized crystal structure of Pr3SiTe6.

Properties
Final energy (eV per atom): -4.89
ΔE_f (raw) (eV/atom): -1.034
Total magnetic moment (μB per cell): 0.0
Space group: Cmc2_1, No. 36

POSCAR file:
```
Pr3SiTe6
1.0
6.201 -7.657 0.000
6.201 7.657 0.000
0.000 0.000 7.463
Pr Si Te
6 2 12
direct
0.095 0.905 0.500 Pr
0.224 0.416 0.386 Pr
0.416 0.224 0.886 Pr
0.584 0.776 0.386 Pr
0.776 0.584 0.886 Pr
0.905 0.095 0.000 Pr
0.298 0.702 0.846 Si
0.702 0.298 0.346 Si
0.068 0.597 0.675 Te
0.124 0.201 0.694 Te
0.201 0.124 0.194 Te
0.280 0.720 0.202 Te
0.403 0.932 0.675 Te
0.460 0.540 0.706 Te
0.540 0.460 0.206 Te
0.597 0.068 0.175 Te
0.720 0.280 0.702 Te
0.799 0.876 0.694 Te
0.876 0.799 0.194 Te
0.932 0.403 0.175 Te
```



[8]
## Pr2SiTe (PBE)

Data for an optimized crystal structure of Pr2SiTe.

Properties
Offset from the most stable computed form (meV/atom): 0
Final energy (eV per atom): -5.64
ΔE_f (raw) (eV/atom): -1.108
Total magnetic moment (μB per cell): 0.0
Space group: R-3m, No. 166

POSCAR file:
```
Pr2SiTe
1.0
2.198 1.269 7.394
-2.198 1.269 7.394
0.000 -2.538 7.394
Pr Si Te
2 1 1
direct
0.241 0.241 0.241 Pr
0.759 0.759 0.759 Pr
0.500 0.500 0.500 Si
0.000 0.000 0.000 Te
```



Question: Number 1 is which compound?
Answer: PrSi3Tc5